Record 1
The following is a DFT calculation (PBE-GGA) of an optimized crystal structure of Pm6InPd2.

As for the space-group type: No. 71. The formation energy comes out at -0.479 eV/atom.

a = 8.813 Å, b = 8.813 Å, c = 8.813 Å
α = 113.85°, β = 109.99°, γ = 104.70°
Fractional positions:
Pm 0.040 0.237 0.803
Pm 0.184 0.290 0.473
Pm 0.184 0.710 0.894
Pm 0.325 0.023 0.698
Pm 0.325 0.627 0.302
Pm 0.434 0.237 0.197
Pm 0.566 0.763 0.803
Pm 0.675 0.373 0.698
Pm 0.675 0.977 0.302
Pm 0.816 0.290 0.106
Pm 0.816 0.710 0.527
Pm 0.960 0.763 0.197
In 0.000 0.000 0.000
In 0.500 0.500 0.000
Pd 0.129 0.629 0.500
Pd 0.348 0.000 0.348
Pd 0.652 0.000 0.652
Pd 0.871 0.371 0.500

=====

Record 2
The following is a DFT calculation (PBE-GGA) of an optimized crystal structure of LiNdHo.

As for the space-group type: No. 12. The formation energy comes out at 0.085 eV/atom.

a = 6.146 Å, b = 3.562 Å, c = 16.097 Å
α = 90.00°, β = 91.23°, γ = 90.00°
Fractional positions:
Li 0.166 0.000 0.065
Li 0.334 0.500 0.935
Li 0.666 0.500 0.065
Li 0.834 0.000 0.935
Nd 0.168 0.000 0.404
Nd 0.332 0.500 0.596
Nd 0.668 0.500 0.404
Nd 0.832 0.000 0.596
Ho 0.002 0.500 0.774
Ho 0.498 0.000 0.226
Ho 0.502 0.000 0.774
Ho 0.998 0.500 0.226

=====

Record 3
The following is a DFT calculation (PBE-GGA) of an optimized crystal structure of La6Pr4Sc.

As for the space-group type: No. 63. The formation energy comes out at 0.108 eV/atom.

a = 5.778 Å, b = 5.778 Å, c = 26.324 Å
α = 90.00°, β = 90.00°, γ = 117.20°
Fractional positions:
La 0.000 0.000 0.000
La 0.000 0.000 0.500
La 0.055 0.945 0.750
La 0.293 0.707 0.107
La 0.293 0.707 0.393
La 0.383 0.617 0.686
La 0.383 0.617 0.814
La 0.617 0.383 0.186
La 0.617 0.383 0.314
La 0.707 0.293 0.607
La 0.707 0.293 0.893
La 0.945 0.055 0.250
Pr 0.055 0.945 0.625
Pr 0.055 0.945 0.875
Pr 0.352 0.648 0.545
Pr 0.352 0.648 0.955
Pr 0.648 0.352 0.045
Pr 0.648 0.352 0.455
Pr 0.945 0.055 0.125
Pr 0.945 0.055 0.375
Sc 0.286 0.714 0.250
Sc 0.714 0.286 0.750

=====

Record 4
The following is a DFT calculation (PBE-GGA) of an optimized crystal structure of AcSmTm4.

As for the space-group type: No. 216. The formation energy comes out at 0.274 eV/atom.

a = 6.699 Å, b = 6.699 Å, c = 6.699 Å
α = 60.00°, β = 60.00°, γ = 60.00°
Fractional positions:
Ac 0.000 0.000 0.000
Sm 0.750 0.750 0.750
Tm 0.376 0.376 0.376
Tm 0.376 0.376 0.873
Tm 0.376 0.873 0.376
Tm 0.873 0.376 0.376

=====

Record 5
The following is a DFT calculation (PBE-GGA) of an optimized crystal structure of ZrIn2IN.

As for the space-group type: No. 123.

a = 5.697 Å, b = 5.697 Å, c = 4.149 Å
α = 90.00°, β = 90.00°, γ = 90.00°
Fractional positions:
Zr 0.000 0.000 0.000
In 0.000 0.500 0.500
In 0.500 0.000 0.500
I 0.500 0.500 0.000
N 0.000 0.000 0.500

=====

Record 6
The following is a DFT calculation (PBE-GGA) of an optimized crystal structure of Tb4YAu2.

As for the space-group type: No. 166. The formation energy comes out at -0.248 eV/atom.

a = 10.631 Å, b = 10.631 Å, c = 10.631 Å
α = 26.74°, β = 26.74°, γ = 26.74°
Fractional positions:
Tb 0.102 0.102 0.102
Tb 0.299 0.299 0.299
Tb 0.701 0.701 0.701
Tb 0.898 0.898 0.898
Y 0.500 0.500 0.500
Au 0.399 0.399 0.399
Au 0.601 0.601 0.601

=====

Record 7
The following is a DFT calculation (PBE-GGA) of an optimized crystal structure of PaBr2Cl6.

As for the space-group type: No. 12.

a = 7.572 Å, b = 7.572 Å, c = 7.997 Å
α = 100.82°, β = 100.82°, γ = 121.54°
Fractional positions:
Pa 0.000 0.000 0.000
Br 0.357 0.643 0.500
Br 0.643 0.357 0.500
Cl 0.057 0.355 0.198
Cl 0.210 0.210 0.818
Cl 0.355 0.057 0.198
Cl 0.645 0.943 0.802
Cl 0.790 0.790 0.182
Cl 0.943 0.645 0.802

=====

Record 8
The following is a DFT calculation (PBE-GGA) of an optimized crystal structure of TiAu.

As for the space-group type: No. 176. The formation energy comes out at 0.027 eV/atom.

a = 7.580 Å, b = 7.580 Å, c = 4.720 Å
α = 90.00°, β = 90.00°, γ = 120.00°
Fractional positions:
Ti 0.107 0.472 0.250
Ti 0.364 0.893 0.250
Ti 0.472 0.364 0.750
Ti 0.528 0.636 0.250
Ti 0.636 0.107 0.750
Ti 0.893 0.528 0.750
Au 0.054 0.268 0.750
Au 0.214 0.946 0.750
Au 0.268 0.214 0.250
Au 0.732 0.786 0.750
Au 0.786 0.054 0.250
Au 0.946 0.732 0.250

=====

The following raw total energy values (in eV/atom) correspond, in order, to the records above: -5.1041, -3.6683, -4.8932, -4.1781, -4.6850, -4.7537, -3.7124, -5.5588.